Record 1
Hf2AgAu: relaxed, PBE.

POSCAR file:
```
Hf2AgAu
1.0
4.9080 0.0000 0.0000
0.0000 6.4917 0.0000
0.0000 0.0000 4.9089
Ag Au Hf
2 2 4
Direct
0.5000 0.6168 0.0007
0.5000 0.3832 0.5007
0.0000 0.6284 0.4994
0.0000 0.3716 0.9994
0.5000 0.1400 0.0003
0.0000 0.1468 0.4996
0.5000 0.8600 0.5003
0.0000 0.8532 0.9996
```

Values from the calculation:
As for the space group: Pmc2_1 (26).

***

Record 2
HfAgAu2: relaxed, PBE.

POSCAR file:
```
HfAgAu2
1.0
-2.0785 -4.1669 0.5604
-2.4233 -0.9046 3.9124
-4.6758 -0.3288 -0.1609
Ag Au Hf
1 2 1
Direct
0.7500 0.7500 0.7500
0.0000 0.0000 0.0000
0.2500 0.2500 0.2500
0.5000 0.5000 0.5000
```

Values from the calculation:
As for the space group: F-43m (216).

***

Record 3
HfAgAu: relaxed, PBE.

POSCAR file:
```
HfAgAu
1.0
3.5580 0.0000 0.0000
0.0000 3.5580 0.0000
0.0000 0.0000 8.8555
Ag Au Hf
2 2 2
Direct
0.0000 0.5000 0.4234
0.5000 0.0000 0.5766
0.0000 0.5000 0.0870
0.5000 0.0000 0.9130
0.5000 0.0000 0.2437
0.0000 0.5000 0.7563
```

Values from the calculation:
As for the space group: P4/nmm (129). The calculation puts the energy above the most stable polymorph in this dataset at 2 meV/atom.

***

Record 4
HfAgAu: relaxed, PBE.

POSCAR file:
```
HfAgAu
1.0
0.0000 3.1972 3.1972
3.1972 0.0000 3.1972
3.1972 3.1972 0.0000
Ag Au Hf
1 1 1
Direct
0.2500 0.2500 0.2500
0.0000 0.0000 0.0000
0.7500 0.7500 0.7500
```

Values from the calculation:
As for the space group: F-43m (216). The calculation puts the energy above the most stable polymorph in this dataset at 306 meV/atom.

***

The evaluated raw total energy for the records listed, in turn: -54.72 -20.35 -33.91 -16.05 eV per cell.
The evaluated DFT formation energy for the records listed, in turn: -0.339 -0.259 -0.303 0.000 eV/atom.